Entry 1:
## ErIn2Hg (PBE-GGA)

Data for a relaxed structure of ErIn2Hg.

The structure in POSCAR format:
```
ErIn2Hg
1.0
-1.053 -0.071 -4.454
4.186 -1.611 -0.965
-1.553 -4.296 0.435
Er Hg In
1 1 2
direct
0.500 0.000 0.000 Er
0.500 0.500 0.500 Hg
0.000 0.500 0.000 In
0.000 0.000 0.500 In
```

mass density: 10.3 g/cm3
space group: No. 123
E_form: -361 meV/atom
volume: 96.4 Å³ per cell

=====

Entry 2:
## Er3In2Hg3 (PBE-GGA)

Data for a relaxed structure of Er3In2Hg3.

The structure in POSCAR format:
```
Er3In2Hg3
1.0
6.195 0.000 0.000
0.000 8.921 0.000
0.000 -4.460 7.725
Hg Er In
6 6 4
direct
0.250 0.657 0.657 Hg
0.250 0.000 0.343 Hg
0.250 0.343 0.000 Hg
0.750 0.343 0.343 Hg
0.750 0.000 0.657 Hg
0.750 0.657 0.000 Hg
0.750 0.310 0.000 Er
0.250 0.310 0.310 Er
0.750 0.690 0.690 Er
0.250 0.000 0.690 Er
0.250 0.690 0.000 Er
0.750 0.000 0.310 Er
0.000 0.333 0.667 In
0.500 0.333 0.667 In
0.500 0.667 0.333 In
0.000 0.667 0.333 In
```

mass density: 10.4 g/cm3
space group: No. 193
E_form: -327 meV/atom
volume: 426.9 Å³ per cell

=====

Entry 3:
## Er3In4Hg2 (PBE-GGA)

Data for a relaxed structure of Er3In4Hg2.

The structure in POSCAR format:
```
Er3In4Hg2
1.0
4.430 0.000 0.000
0.000 7.696 0.000
0.000 -3.848 6.665
Er Hg In
3 2 4
direct
0.500 0.000 0.410 Er
0.500 0.590 0.590 Er
0.500 0.410 0.000 Er
0.000 0.667 0.333 Hg
0.000 0.333 0.667 Hg
0.000 0.740 0.000 In
0.500 0.000 0.000 In
0.000 0.260 0.260 In
0.000 0.000 0.740 In
```

mass density: 10.0 g/cm3
space group: No. 189
E_form: -344 meV/atom
volume: 227.3 Å³ per cell

=====

Entry 4:
## Er2InHg (PBE-GGA)

Data for a relaxed structure of Er2InHg.

The structure in POSCAR format:
```
Er2InHg
1.0
3.688 0.000 0.000
0.000 5.261 0.000
0.000 0.000 10.548
Hg Er In
2 4 2
direct
0.500 0.250 0.873 Hg
0.500 0.750 0.127 Hg
0.000 0.750 0.372 Er
0.000 0.250 0.121 Er
0.000 0.250 0.628 Er
0.000 0.750 0.879 Er
0.500 0.250 0.375 In
0.500 0.750 0.625 In
```

mass density: 10.5 g/cm3
space group: No. 51
E_form: -456 meV/atom
volume: 204.7 Å³ per cell

=====

Entry 5:
## Er3InHg3 (PBE-GGA)

Data for a relaxed structure of Er3InHg3.

The structure in POSCAR format:
```
Er3InHg3
1.0
7.119 -0.031 -0.009
-0.015 7.119 -0.009
-0.006 -0.006 7.310
Hg Er In
6 6 2
direct
0.315 0.315 0.542 Hg
0.685 0.685 0.458 Hg
0.247 0.753 0.000 Hg
0.753 0.247 0.000 Hg
0.248 0.752 0.500 Hg
0.752 0.248 0.500 Hg
0.539 0.964 0.749 Er
0.461 0.036 0.251 Er
0.047 0.047 0.754 Er
0.036 0.461 0.251 Er
0.953 0.953 0.246 Er
0.964 0.539 0.749 Er
0.335 0.335 0.955 In
0.665 0.665 0.045 In
```

mass density: 10.9 g/cm3
space group: No. 12
E_form: -337 meV/atom
volume: 370.4 Å³ per cell

=====

Entry 6:
## ErInHg3 (PBE-GGA)

Data for a relaxed structure of ErInHg3.

The structure in POSCAR format:
```
ErInHg3
1.0
-2.225 -1.941 5.831
-1.611 -3.748 -1.862
6.899 -3.101 5.672
Hg Er In
6 2 2
direct
0.768 0.995 0.990 Hg
0.364 0.594 0.189 Hg
0.936 0.205 0.410 Hg
0.232 0.005 0.010 Hg
0.636 0.406 0.811 Hg
0.064 0.795 0.590 Hg
0.151 0.394 0.788 Er
0.849 0.606 0.212 Er
0.557 0.804 0.608 In
0.443 0.196 0.392 In
```

mass density: 11.9 g/cm3
space group: No. 12
E_form: -200 meV/atom
volume: 247.3 Å³ per cell

=====

- Look up the E_form of the first one.
  -361 meV/atom